[1]
{
  "formula": "Sc3Ni11Ge4",
  "functional": "GGA-PBE",
  "state": "optimized geometry",
  "e_tot_ev_per_fu": -107.50,
  "space_group": "P6_3/mmc (194)",
  "lattice": [[8.099, 0.000, 0.000], [-4.049, 7.014, 0.000], [0.000, 0.000, 8.438]],
  "species": ["Sc", "Sc", "Sc", "Sc", "Sc", "Sc", "Ni", "Ni", "Ni", "Ni", "Ni", "Ni", "Ni", "Ni", "Ni", "Ni", "Ni", "Ni", "Ni", "Ni", "Ni", "Ni", "Ni", "Ni", "Ni", "Ni", "Ni", "Ni", "Ge", "Ge", "Ge", "Ge", "Ge", "Ge", "Ge", "Ge"],
  "frac_coords": [[0.197, 0.393, 0.250], [0.197, 0.803, 0.250], [0.393, 0.197, 0.750], [0.607, 0.803, 0.250], [0.803, 0.197, 0.750], [0.803, 0.607, 0.750], [0.128, 0.564, 0.750], [0.154, 0.307, 0.594], [0.154, 0.307, 0.906], [0.154, 0.846, 0.594], [0.154, 0.846, 0.906], [0.307, 0.154, 0.094], [0.307, 0.154, 0.406], [0.333, 0.667, 0.006], [0.333, 0.667, 0.494], [0.436, 0.564, 0.750], [0.436, 0.872, 0.750], [0.564, 0.128, 0.250], [0.564, 0.436, 0.250], [0.667, 0.333, 0.506], [0.667, 0.333, 0.994], [0.693, 0.846, 0.594], [0.693, 0.846, 0.906], [0.846, 0.154, 0.094], [0.846, 0.154, 0.406], [0.846, 0.693, 0.094], [0.846, 0.693, 0.406], [0.872, 0.436, 0.250], [0.000, 0.000, 0.250], [0.000, 0.000, 0.750], [0.000, 0.500, 0.000], [0.000, 0.500, 0.500], [0.500, 0.000, 0.000], [0.500, 0.000, 0.500], [0.500, 0.500, 0.000], [0.500, 0.500, 0.500]]
}

[2]
{
  "formula": "NpInPt",
  "functional": "GGA-PBE",
  "state": "optimized geometry",
  "e_tot_ev_per_fu": -22.57,
  "space_group": "F-43m (216)",
  "lattice": [[0.000, 3.338, 3.338], [3.338, 0.000, 3.338], [3.338, 3.338, 0.000]],
  "species": ["Np", "In", "Pt"],
  "frac_coords": [[0.000, 0.000, 0.000], [0.500, 0.500, 0.500], [0.750, 0.750, 0.750]]
}

[3]
{
  "formula": "Ho2AlNi2",
  "functional": "GGA-PBE",
  "state": "optimized geometry",
  "e_tot_ev_per_fu": -26.85,
  "space_group": "Immm (71)",
  "lattice": [[-2.098, 2.686, 4.054], [2.098, -2.686, 4.054], [2.098, 2.686, -4.054]],
  "species": ["Ho", "Ho", "Al", "Ni", "Ni"],
  "frac_coords": [[0.204, 0.204, 0.000], [0.796, 0.796, 0.000], [0.500, 0.000, 0.500], [0.232, 0.500, 0.732], [0.768, 0.500, 0.268]]
}